Model i:
Below is GaNiB4 after structural relaxation, with properties calculated at the GGA-PBE level.

Unit cell a=3.0255 b=3.0255 c=6.6475 alpha=90.00 beta=90.00 gamma=120.00
Space group P6/mmm (No. 191)
Symmetry-distinct sites (fractional):
1 Ga 0.0000 0.0000 0.0000
2 Ni 0.0000 0.0000 0.5000
3 B 0.3333 0.6667 0.2730

Computed properties:
As for the crystal system: hexagonal.

Model ii:
Below is GaNiB4 after structural relaxation, with properties calculated at the GGA-PBE level.

Unit cell a=3.0046 b=5.2340 c=6.6089 alpha=90.00 beta=90.00 gamma=90.00
Space group Immm (No. 71)
Symmetry-distinct sites (fractional):
1 Ga 0.0000 0.0000 0.0000
2 Ni 0.0000 0.0000 0.5000
3 B 0.0000 0.3337 0.2480

Computed properties:
As for the crystal system: orthorhombic.

model i (33 meV per atom below the next structure)

Model i:
Below is NpGaB after structural relaxation, with properties calculated at the GGA-PBE level.

Unit cell a=6.0810 b=6.0810 c=6.0810 alpha=90.00 beta=90.00 gamma=90.00
Space group F-43m (No. 216)
Symmetry-distinct sites (fractional):
1 Np 0.0000 0.0000 0.0000
2 Ga 0.2500 0.2500 0.7500
3 B 0.0000 0.0000 0.5000

Computed properties:
As for the crystal system: cubic.

Model ii:
Below is NpGaB after structural relaxation, with properties calculated at the GGA-PBE level.

Unit cell a=6.0843 b=6.0843 c=6.0843 alpha=90.00 beta=90.00 gamma=90.00
Space group F-43m (No. 216)
Symmetry-distinct sites (fractional):
1 Np 0.0000 0.0000 0.0000
2 Ga 0.2500 0.2500 0.2500
3 B 0.2500 0.2500 0.7500

Computed properties:
As for the crystal system: cubic.

Model iii:
Below is NpGaB after structural relaxation, with properties calculated at the GGA-PBE level.

Unit cell a=5.7615 b=5.7615 c=5.7615 alpha=90.00 beta=90.00 gamma=90.00
Space group F-43m (No. 216)
Symmetry-distinct sites (fractional):
1 Np 0.0000 0.0000 0.0000
2 Ga 0.0000 0.0000 0.5000
3 B 0.2500 0.2500 0.7500

Computed properties:
As for the crystal system: cubic.

model iii (707 meV per atom below the next structure)

Model i:
Below is GaB4Pd after structural relaxation, with properties calculated at the GGA-PBE level.

Unit cell a=3.0504 b=3.0504 c=7.0482 alpha=90.00 beta=90.00 gamma=120.00
Space group P6/mmm (No. 191)
Symmetry-distinct sites (fractional):
1 Ga 0.0000 0.0000 0.0000
2 B 0.3333 0.6667 0.2427
3 Pd 0.0000 0.0000 0.5000

Computed properties:
As for the crystal system: hexagonal.

Model ii:
Below is GaB4Pd after structural relaxation, with properties calculated at the GGA-PBE level.

Unit cell a=3.0507 b=5.2990 c=7.0965 alpha=90.00 beta=90.00 gamma=90.00
Space group Immm (No. 71)
Symmetry-distinct sites (fractional):
1 Ga 0.0000 0.0000 0.0000
2 B 0.0000 0.3315 0.2544
3 Pd 0.0000 0.0000 0.5000

Computed properties:
As for the crystal system: orthorhombic.

model i (19 meV per atom below the next structure)

Model i:
Below is PrGaB4 after structural relaxation, with properties calculated at the GGA-PBE level.

Unit cell a=3.1608 b=3.1608 c=7.7469 alpha=90.00 beta=90.00 gamma=120.00
Space group P6/mmm (No. 191)
Symmetry-distinct sites (fractional):
1 Pr 0.0000 0.0000 0.0000
2 Ga 0.0000 0.0000 0.5000
3 B 0.3333 0.6667 0.2854

Computed properties:
As for the crystal system: hexagonal.

Model ii:
Below is PrGaB4 after structural relaxation, with properties calculated at the GGA-PBE level.

Unit cell a=3.2361 b=5.2593 c=8.5098 alpha=90.00 beta=90.00 gamma=90.00
Space group Immm (No. 71)
Symmetry-distinct sites (fractional):
1 Pr 0.0000 0.0000 0.0000
2 Ga 0.0000 0.0000 0.5000
3 B 0.0000 0.3252 0.2591

Computed properties:
As for the crystal system: orthorhombic.

model ii (116 meV per atom below the next structure)

Model i:
Below is GaB4Pt after structural relaxation, with properties calculated at the GGA-PBE level.

Unit cell a=3.0665 b=5.3053 c=7.1108 alpha=90.00 beta=90.00 gamma=90.00
Space group Immm (No. 71)
Symmetry-distinct sites (fractional):
1 Ga 0.0000 0.0000 0.0000
2 B 0.0000 0.3305 0.2584
3 Pt 0.0000 0.0000 0.5000

Computed properties:
As for the crystal system: orthorhombic.

Model ii:
Below is GaB4Pt after structural relaxation, with properties calculated at the GGA-PBE level.

Unit cell a=3.0769 b=3.0769 c=7.0094 alpha=90.00 beta=90.00 gamma=120.00
Space group P6/mmm (No. 191)
Symmetry-distinct sites (fractional):
1 Ga 0.0000 0.0000 0.0000
2 B 0.3333 0.6667 0.2467
3 Pt 0.0000 0.0000 0.5000

Computed properties:
As for the crystal system: hexagonal.

model ii (12 meV per atom below the next structure)

Model i:
Below is TmGaB4 after structural relaxation, with properties calculated at the GGA-PBE level.

Unit cell a=3.1524 b=3.1524 c=7.2187 alpha=90.00 beta=90.00 gamma=120.00
Space group P6/mmm (No. 191)
Symmetry-distinct sites (fractional):
1 Tm 0.0000 0.0000 0.0000
2 Ga 0.0000 0.0000 0.5000
3 B 0.3333 0.6667 0.2653

Computed properties:
As for the crystal system: hexagonal.

Model ii:
Below is TmGaB4 after structural relaxation, with properties calculated at the GGA-PBE level.

Unit cell a=3.1731 b=5.1500 c=7.8429 alpha=90.00 beta=90.00 gamma=90.00
Space group Immm (No. 71)
Symmetry-distinct sites (fractional):
1 Tm 0.0000 0.0000 0.0000
2 Ga 0.0000 0.0000 0.5000
3 B 0.0000 0.3254 0.2629

Computed properties:
As for the crystal system: orthorhombic.

model ii (144 meV per atom below the next structure)